A plane-wave DFT calculation with PBE-GGA was carried out for an optimized crystal structure of TeMoSe2SBr.

Calculated values
Crystal system: triclinic
Energy relative to the lowest polymorph listed for this composition: 78.8 meV/atom
Size of the total moment: 0.00 μB per atom
Total energy: -4.79 eV per atom

Lattice parameters (Å, degrees): 6.4678 8.0621 8.1781 110.77 113.28 98.05
With the nearest neighbours (Å) after each atom.
Space group P-1 (No. 2)
Unique sites:
Te: 0.1370 0.3271 0.1611 (multiplicity 2)  1 Se 2.65, 2 Mo 2.74-2.75
Mo: 0.2258 0.0010 0.0008 (multiplicity 2)  2 S 2.51, 4 Se 2.57-2.68, 2 Te 2.74-2.75
Se: 0.0970 0.9092 0.2250 (multiplicity 2)  2 Mo 2.57, 1 Te 2.65
Se: 0.3222 0.8074 0.7138 (multiplicity 2)  1 S 2.20
S: 0.4538 0.7725 0.9884 (multiplicity 2)  1 Se 2.20
Br: 0.3421 0.2413 0.6028 (multiplicity 2)  1 Se 2.88, 1 S 3.12

=====

A plane-wave DFT calculation with PBE-GGA was carried out for an optimized crystal structure of TeMoSe2SBr.

Calculated values
Crystal system: triclinic
Energy relative to the lowest polymorph listed for this composition: 85.3 meV/atom
Size of the total moment: 0.00 μB per atom
Total energy: -4.79 eV per atom

Lattice parameters (Å, degrees): 6.4867 8.0763 8.2438 111.78 97.52 113.50
With the nearest neighbours (Å) after each atom.
Space group P-1 (No. 2)
Unique sites:
Te: 0.1356 0.1677 0.3206 (multiplicity 2)  1 Se 2.66, 2 Mo 2.74-2.75
Mo: 0.2275 0.0006 0.0010 (multiplicity 2)  2 S 2.55, 4 Se 2.57-2.65, 2 Te 2.74-2.75
Se: 0.0997 0.2288 0.9147 (multiplicity 2)  2 Mo 2.57, 1 Te 2.66
Se: 0.4549 0.9926 0.7565 (multiplicity 2)  1 S 2.24
S: 0.3358 0.7311 0.8218 (multiplicity 2)  1 Se 2.24
Br: 0.3507 0.6175 0.2563 (multiplicity 2)  2 Se 2.93-2.94

=====

A plane-wave DFT calculation with PBE-GGA was carried out for an optimized crystal structure of Te2MoSeSBr.

Calculated values
Crystal system: triclinic
Energy relative to the lowest polymorph listed for this composition: 0.0 meV/atom
Size of the total moment: 0.00 μB per atom
Total energy: -4.79 eV per atom

Lattice parameters (Å, degrees): 6.5199 7.5774 8.7893 114.29 103.31 99.77
With the nearest neighbours (Å) after each atom.
Space group P-1 (No. 2)
Unique sites:
Te: 0.1143 0.1256 0.2884 (multiplicity 2)  1 S 2.41
Te: 0.3738 0.6528 0.8155 (multiplicity 2)  1 Se 2.64, 2 Mo 2.74, 1 Br 2.94
Mo: 0.2759 0.0004 0.0001 (multiplicity 2)  2 S 2.54, 2 Se 2.59, 4 Te 2.74-2.83
Se: 0.4775 0.1446 0.8357 (multiplicity 2)  2 Mo 2.59, 1 Te 2.64
S: 0.0285 0.2130 0.9579 (multiplicity 2)  1 Te 2.41, 2 Mo 2.54
Br: 0.2538 0.5992 0.4524 (multiplicity 2)  2 Te 2.94-3.13

=====

A plane-wave DFT calculation with PBE-GGA was carried out for an optimized crystal structure of TeMoSeS2Br.

Calculated values
Crystal system: triclinic
Energy relative to the lowest polymorph listed for this composition: 0.0 meV/atom
Size of the total moment: 0.00 μB per atom
Total energy: -4.99 eV per atom

Lattice parameters (Å, degrees): 6.3825 7.2934 8.3970 98.02 112.33 102.35
With the nearest neighbours (Å) after each atom.
Space group P-1 (No. 2)
Unique sites:
Te: 0.1692 0.0858 0.2951 (multiplicity 2)  1 S 2.44
Mo: 0.2787 0.9999 0.9998 (multiplicity 2)  4 S 2.44-2.52, 2 Se 2.57
Se: 0.3403 0.7199 0.8174 (multiplicity 2)  1 S 2.27
S: 0.0930 0.2583 0.0591 (multiplicity 2)  1 Te 2.44, 2 Mo 2.52
S: 0.4941 0.2179 0.8814 (multiplicity 2)  1 Se 2.27, 2 Mo 2.44
Br: 0.1644 0.7454 0.4471 (multiplicity 2)  1 Se 2.93, 1 Te 2.95

=====

A plane-wave DFT calculation with PBE-GGA was carried out for an optimized crystal structure of Te2MoSeSBr.

Calculated values
Crystal system: triclinic
Energy relative to the lowest polymorph listed for this composition: 1.9 meV/atom
Size of the total moment: 0.00 μB per atom
Total energy: -4.79 eV per atom

Lattice parameters (Å, degrees): 6.5172 8.2053 8.4007 115.58 104.70 97.89
With the nearest neighbours (Å) after each atom.
Space group P-1 (No. 2)
Unique sites:
Te: 0.1125 0.0834 0.3018 (multiplicity 2)  1 Se 2.51
Te: 0.3722 0.6786 0.7789 (multiplicity 2)  1 S 2.55, 2 Mo 2.74, 1 Br 2.82
Mo: 0.2818 0.0000 0.0003 (multiplicity 2)  2 S 2.43, 2 Se 2.67
Se: 0.0371 0.2329 0.9893 (multiplicity 2)  1 Te 2.51, 2 Mo 2.67
S: 0.4791 0.1438 0.8620 (multiplicity 2)  2 Mo 2.43, 1 Te 2.55
Br: 0.2404 0.6218 0.4082 (multiplicity 2)  1 Te 2.82

=====

A plane-wave DFT calculation with PBE-GGA was carried out for an optimized crystal structure of TeMoSeS2Br.

Calculated values
Crystal system: triclinic
Energy relative to the lowest polymorph listed for this composition: 16.2 meV/atom
Size of the total moment: 0.00 μB per atom
Total energy: -4.97 eV per atom

Lattice parameters (Å, degrees): 6.4138 7.4250 8.4462 115.89 101.95 101.35
With the nearest neighbours (Å) after each atom.
Space group P-1 (No. 2)
Unique sites:
Te: 0.1246 0.1781 0.3089 (multiplicity 2)  1 Se 2.59, 2 Mo 2.86, 1 Br 2.88
Mo: 0.2817 0.9998 0.0003 (multiplicity 2)  4 S 2.43-2.44, 2 Se 2.65
Se: 0.0333 0.2223 0.9359 (multiplicity 2)  1 Te 2.59, 2 Mo 2.65
S: 0.3948 0.6863 0.8745 (multiplicity 2)  1 S 2.08
S: 0.4839 0.1292 0.8365 (multiplicity 2)  1 S 2.08
Br: 0.2624 0.6268 0.4405 (multiplicity 2)  1 Te 2.88

=====

A plane-wave DFT calculation with PBE-GGA was carried out for an optimized crystal structure of TeMoSeS2Br.

Calculated values
Crystal system: triclinic
Energy relative to the lowest polymorph listed for this composition: 15.6 meV/atom
Size of the total moment: 0.00 μB per atom
Total energy: -4.97 eV per atom

Lattice parameters (Å, degrees): 6.3212 8.1675 8.2215 117.18 104.77 97.50
With the nearest neighbours (Å) after each atom.
Space group P-1 (No. 2)
Unique sites:
Te: 0.1341 0.3263 0.2378 (multiplicity 2)  1 Se 2.71, 2 Mo 2.75, 1 Br 2.78
Mo: 0.2296 0.0001 0.9994 (multiplicity 2)  4 S 2.50-2.54, 2 Se 2.57, 2 Te 2.75
Se: 0.0284 0.8541 0.1579 (multiplicity 2)  2 Mo 2.57, 1 Te 2.71
S: 0.4045 0.9412 0.7391 (multiplicity 2)  1 S 2.03
S: 0.4719 0.7880 0.0250 (multiplicity 2)  1 S 2.03
Br: 0.2650 0.3695 0.6074 (multiplicity 2)  1 Te 2.78

=====

A plane-wave DFT calculation with PBE-GGA was carried out for an optimized crystal structure of TeMoSe2SBr.

Calculated values
Crystal system: triclinic
Energy relative to the lowest polymorph listed for this composition: 11.1 meV/atom
Size of the total moment: 0.00 μB per atom
Total energy: -4.86 eV per atom

Lattice parameters (Å, degrees): 6.4014 8.1751 8.3388 116.91 104.66 97.62
With the nearest neighbours (Å) after each atom.
Space group P-1 (No. 2)
Unique sites:
Te: 0.1322 0.3251 0.2332 (multiplicity 2)  1 Se 2.69, 2 Mo 2.75, 1 Br 2.79
Mo: 0.2265 0.0000 0.9994 (multiplicity 2)  2 S 2.51, 4 Se 2.57-2.67, 2 Te 2.75
Se: 0.0258 0.8504 0.1535 (multiplicity 2)  2 Mo 2.57-2.58, 1 Te 2.69
Se: 0.3973 0.9300 0.7214 (multiplicity 2)  1 S 2.19
S: 0.4695 0.7871 0.0182 (multiplicity 2)  1 Se 2.19
Br: 0.2621 0.3694 0.5999 (multiplicity 2)  1 Te 2.79

=====

A plane-wave DFT calculation with PBE-GGA was carried out for an optimized crystal structure of TeMoSe2SBr.

Calculated values
Crystal system: triclinic
Energy relative to the lowest polymorph listed for this composition: 4.3 meV/atom
Size of the total moment: 0.00 μB per atom
Total energy: -4.87 eV per atom

Lattice parameters (Å, degrees): 6.4945 7.5771 8.2963 72.48 67.00 77.85
With the nearest neighbours (Å) after each atom.
Space group P-1 (No. 2)
Unique sites:
Te: 0.1280 0.0815 0.2027 (multiplicity 2)  1 Se 2.56
Mo: 0.2827 0.0003 0.4997 (multiplicity 2)  2 S 2.43, 4 Se 2.57-2.67
Se: 0.0380 0.7311 0.5564 (multiplicity 2)  1 Te 2.56, 2 Mo 2.66-2.67
Se: 0.4752 0.7294 0.6817 (multiplicity 2)  1 S 2.29, 2 Mo 2.57
S: 0.3862 0.2032 0.6278 (multiplicity 2)  1 Se 2.29, 2 Mo 2.43
Br: 0.2846 0.7430 0.0522 (multiplicity 2)  1 Se 2.86, 1 Te 3.00

=====

A plane-wave DFT calculation with PBE-GGA was carried out for an optimized crystal structure of Te2MoSeSBr.

Calculated values
Crystal system: triclinic
Energy relative to the lowest polymorph listed for this composition: 66.6 meV/atom
Size of the total moment: 0.00 μB per atom
Total energy: -4.73 eV per atom

Lattice parameters (Å, degrees): 6.5350 8.2150 8.5101 112.14 112.58 97.80
With the nearest neighbours (Å) after each atom.
Space group P-1 (No. 2)
Unique sites:
Te: 0.1037 0.4090 0.2388 (multiplicity 2)  2 Mo 2.76, 1 Te 2.85, 1 Br 2.89
Te: 0.1384 0.8237 0.1674 (multiplicity 2)  2 Mo 2.76-2.77, 1 Te 2.85
Mo: 0.2292 0.5009 0.0009 (multiplicity 2)  2 S 2.52, 2 Se 2.68, 4 Te 2.76-2.77
Se: 0.3266 0.3035 0.7230 (multiplicity 2)  1 S 2.19
S: 0.4540 0.2747 0.9864 (multiplicity 2)  1 Se 2.19
Br: 0.3435 0.7407 0.6082 (multiplicity 2)  1 Te 2.89